! NaFeCuF6 (PBE with a Hubbard U, optimized geometry); values from VASP
&SYSTEM
  ibrav = 0, nat = 18, ntyp = 4
/
ATOMIC_SPECIES
Na 22.99 Na.upf
Fe 55.84 Fe.upf
Cu 63.55 Cu.upf
F 19.00 F.upf
CELL_PARAMETERS angstrom
4.816 0.000 0.000
0.000 4.816 0.000
0.000 0.000 9.636
ATOMIC_POSITIONS crystal
Na 0.000 0.000 0.000
Na 0.500 0.500 0.500
Fe 0.000 0.000 0.331
Fe 0.500 0.500 0.831
Cu 0.000 0.000 0.668
Cu 0.500 0.500 0.168
F 0.181 0.181 0.491
F 0.211 0.211 0.187
F 0.224 0.224 0.821
F 0.276 0.724 0.321
F 0.289 0.711 0.687
F 0.319 0.681 0.991
F 0.681 0.319 0.991
F 0.711 0.289 0.687
F 0.724 0.276 0.321
F 0.776 0.776 0.821
F 0.789 0.789 0.187
F 0.819 0.819 0.491
! **E**: -78.54 eV/cell
! **Space-group type**: No. 102

! FeCuNiF6 (PBE with a Hubbard U, optimized geometry); values from VASP
&SYSTEM
  ibrav = 0, nat = 18, ntyp = 4
/
ATOMIC_SPECIES
Fe 55.84 Fe.upf
Cu 63.55 Cu.upf
Ni 58.69 Ni.upf
F 19.00 F.upf
CELL_PARAMETERS angstrom
4.714 0.000 0.000
0.000 4.714 0.000
0.000 0.000 9.680
ATOMIC_POSITIONS crystal
Fe 0.000 0.000 0.000
Fe 0.500 0.500 0.500
Cu 0.000 0.000 0.668
Cu 0.500 0.500 0.168
Ni 0.000 0.000 0.334
Ni 0.500 0.500 0.834
F 0.197 0.197 0.169
F 0.198 0.198 0.494
F 0.200 0.200 0.837
F 0.300 0.700 0.337
F 0.302 0.698 0.994
F 0.303 0.697 0.669
F 0.697 0.303 0.669
F 0.698 0.302 0.994
F 0.700 0.300 0.337
F 0.800 0.800 0.837
F 0.802 0.802 0.494
F 0.803 0.803 0.169
! **E**: -83.73 eV/cell
! **Space-group type**: No. 102

! FeCu2PbF8 (PBE with a Hubbard U, optimized geometry); values from VASP
&SYSTEM
  ibrav = 0, nat = 12, ntyp = 4
/
ATOMIC_SPECIES
Fe 55.84 Fe.upf
Cu 63.55 Cu.upf
Pb 207.20 Pb.upf
F 19.00 F.upf
CELL_PARAMETERS angstrom
-2.733 2.733 5.504
2.733 -2.733 5.504
2.733 2.733 -5.504
ATOMIC_POSITIONS crystal
Fe 0.000 0.000 0.000
Cu 0.250 0.750 0.500
Cu 0.500 0.500 0.000
Pb 0.750 0.250 0.500
F 0.083 0.691 0.968
F 0.203 0.134 0.616
F 0.309 0.277 0.392
F 0.412 0.797 0.931
F 0.518 0.588 0.384
F 0.723 0.115 0.032
F 0.866 0.482 0.069
F 0.885 0.917 0.608
! **E**: -55.00 eV/cell
! **Space-group type**: No. 82

! Fe2CuPtF (PBE with a Hubbard U, optimized geometry); values from VASP
&SYSTEM
  ibrav = 0, nat = 5, ntyp = 4
/
ATOMIC_SPECIES
Fe 55.84 Fe.upf
Cu 63.55 Cu.upf
Pt 195.08 Pt.upf
F 19.00 F.upf
CELL_PARAMETERS angstrom
4.036 0.000 0.000
0.000 4.036 0.000
0.000 0.000 4.766
ATOMIC_POSITIONS crystal
Fe 0.000 0.500 0.000
Fe 0.500 0.000 0.000
Cu 0.000 0.000 0.500
Pt 0.500 0.500 0.500
F 0.500 0.500 0.000
! **E**: -22.11 eV/cell
! **Space-group type**: No. 123

! RbFeCu2F8 (PBE with a Hubbard U, optimized geometry); values from VASP
&SYSTEM
  ibrav = 0, nat = 12, ntyp = 4
/
ATOMIC_SPECIES
Rb 85.47 Rb.upf
Fe 55.84 Fe.upf
Cu 63.55 Cu.upf
F 19.00 F.upf
CELL_PARAMETERS angstrom
2.694 1.555 7.283
-2.694 1.555 7.283
0.000 -3.111 7.283
ATOMIC_POSITIONS crystal
Rb 0.000 0.000 0.000
Fe 0.500 0.500 0.500
Cu 0.229 0.229 0.229
Cu 0.771 0.771 0.771
F 0.159 0.766 0.427
F 0.234 0.573 0.841
F 0.312 0.312 0.312
F 0.427 0.159 0.766
F 0.573 0.841 0.234
F 0.688 0.688 0.688
F 0.766 0.427 0.159
F 0.841 0.234 0.573
! **E**: -53.15 eV/cell
! **Space-group type**: No. 148

! Rb2FeCuF6 (PBE with a Hubbard U, optimized geometry); values from VASP
&SYSTEM
  ibrav = 0, nat = 10, ntyp = 4
/
ATOMIC_SPECIES
Rb 85.47 Rb.upf
Fe 55.84 Fe.upf
Cu 63.55 Cu.upf
F 19.00 F.upf
CELL_PARAMETERS angstrom
-2.928 2.928 4.497
2.928 -2.928 4.497
2.928 2.928 -4.497
ATOMIC_POSITIONS crystal
Rb 0.250 0.750 0.500
Rb 0.750 0.250 0.500
Fe 0.000 0.000 0.000
Cu 0.500 0.500 0.000
F 0.218 0.218 0.000
F 0.242 0.242 0.485
F 0.242 0.758 0.000
F 0.758 0.242 0.000
F 0.758 0.758 0.515
F 0.782 0.782 0.000
! **E**: -46.39 eV/cell
! **Space-group type**: No. 139

! Rb3Fe2CuF9 (PBE with a Hubbard U, optimized geometry); values from VASP
&SYSTEM
  ibrav = 0, nat = 15, ntyp = 4
/
ATOMIC_SPECIES
Rb 85.47 Rb.upf
Fe 55.84 Fe.upf
Cu 63.55 Cu.upf
F 19.00 F.upf
CELL_PARAMETERS angstrom
5.991 0.000 0.000
-2.996 5.189 0.000
0.000 0.000 7.234
ATOMIC_POSITIONS crystal
Rb 0.000 0.000 0.000
Rb 0.333 0.667 0.340
Rb 0.667 0.333 0.660
Fe 0.333 0.667 0.834
Fe 0.667 0.333 0.166
Cu 0.000 0.000 0.500
F 0.000 0.500 0.000
F 0.168 0.336 0.673
F 0.168 0.832 0.673
F 0.336 0.168 0.327
F 0.500 0.000 0.000
F 0.500 0.500 0.000
F 0.664 0.832 0.673
F 0.832 0.168 0.327
F 0.832 0.664 0.327
! **E**: -71.40 eV/cell
! **Space-group type**: No. 164

! RbFeCuF6 (PBE with a Hubbard U, optimized geometry); values from VASP
&SYSTEM
  ibrav = 0, nat = 18, ntyp = 4
/
ATOMIC_SPECIES
Rb 85.47 Rb.upf
Fe 55.84 Fe.upf
Cu 63.55 Cu.upf
F 19.00 F.upf
CELL_PARAMETERS angstrom
-3.575 3.762 5.304
3.575 -3.762 5.304
3.575 3.762 -5.304
ATOMIC_POSITIONS crystal
Rb 0.359 0.109 0.250
Rb 0.641 0.891 0.750
Fe 0.000 0.500 0.500
Fe 0.500 0.500 0.000
Cu 0.000 0.000 0.500
Cu 0.000 0.500 0.000
F 0.069 0.819 0.250
F 0.075 0.424 0.257
F 0.075 0.819 0.651
F 0.311 0.561 0.750
F 0.333 0.181 0.757
F 0.333 0.576 0.151
F 0.667 0.424 0.849
F 0.667 0.819 0.243
F 0.689 0.439 0.250
F 0.925 0.181 0.349
F 0.925 0.576 0.743
F 0.931 0.181 0.750
! **E**: -84.55 eV/cell
! **Space-group type**: No. 74

! RbFeCuF6 (PBE with a Hubbard U, optimized geometry); values from VASP
&SYSTEM
  ibrav = 0, nat = 9, ntyp = 4
/
ATOMIC_SPECIES
Rb 85.47 Rb.upf
Fe 55.84 Fe.upf
Cu 63.55 Cu.upf
F 19.00 F.upf
CELL_PARAMETERS angstrom
5.244 0.000 0.000
-2.400 4.705 0.000
-0.097 -0.157 6.076
ATOMIC_POSITIONS crystal
Rb 0.000 0.000 0.000
Fe 0.654 0.345 0.499
Cu 0.321 0.682 0.500
F 0.367 0.027 0.656
F 0.368 0.395 0.322
F 0.602 0.625 0.681
F 0.637 0.064 0.302
F 0.934 0.353 0.694
F 0.971 0.636 0.344
! **E**: -40.04 eV/cell
! **Space-group type**: No. 1

! FeCuSF2 (PBE with a Hubbard U, optimized geometry); values from VASP
&SYSTEM
  ibrav = 0, nat = 5, ntyp = 4
/
ATOMIC_SPECIES
Fe 55.84 Fe.upf
Cu 63.55 Cu.upf
S 32.06 S.upf
F 19.00 F.upf
CELL_PARAMETERS angstrom
4.257 0.000 0.000
0.000 4.257 0.000
0.000 0.000 4.411
ATOMIC_POSITIONS crystal
Fe 0.000 0.000 0.000
Cu 0.500 0.500 0.000
S 0.000 0.000 0.500
F 0.000 0.500 0.500
F 0.500 0.000 0.500
! **E**: -16.96 eV/cell
! **Space-group type**: No. 123

! Fe2CuSnF (PBE with a Hubbard U, optimized geometry); values from VASP
&SYSTEM
  ibrav = 0, nat = 5, ntyp = 4
/
ATOMIC_SPECIES
Fe 55.84 Fe.upf
Cu 63.55 Cu.upf
Sn 118.71 Sn.upf
F 19.00 F.upf
CELL_PARAMETERS angstrom
5.209 0.000 0.000
0.000 5.209 0.000
0.000 0.000 4.818
ATOMIC_POSITIONS crystal
Fe 0.000 0.500 0.000
Fe 0.500 0.000 0.000
Cu 0.000 0.000 0.500
Sn 0.000 0.000 0.000
F 0.500 0.500 0.500
! **E**: -18.27 eV/cell
! **Space-group type**: No. 123

! ZnFeCuF6 (PBE with a Hubbard U, optimized geometry); values from VASP
&SYSTEM
  ibrav = 0, nat = 18, ntyp = 4
/
ATOMIC_SPECIES
Zn 65.41 Zn.upf
Fe 55.84 Fe.upf
Cu 63.55 Cu.upf
F 19.00 F.upf
CELL_PARAMETERS angstrom
5.302 0.000 0.000
-2.651 4.591 0.000
0.000 0.000 9.203
ATOMIC_POSITIONS crystal
Zn 0.333 0.667 0.250
Zn 0.667 0.333 0.750
Fe 0.333 0.667 0.750
Fe 0.667 0.333 0.250
Cu 0.000 0.000 0.000
Cu 0.000 0.000 0.500
F 0.011 0.357 0.633
F 0.011 0.655 0.867
F 0.345 0.357 0.867
F 0.345 0.989 0.633
F 0.357 0.011 0.133
F 0.357 0.345 0.367
F 0.643 0.655 0.633
F 0.643 0.989 0.867
F 0.655 0.011 0.367
F 0.655 0.643 0.133
F 0.989 0.345 0.133
F 0.989 0.643 0.367
! **E**: -81.17 eV/cell
! **Space-group type**: No. 163

| no. | DOS at the Fermi energy (states/eV/atom) |
| --- | --- |
| 1 | 0.559 |
| 2 | 0.628 |
| 3 | 0.740 |
| 4 | 0.547 |
| 5 | 0.400 |
| 6 | 0.000 |
| 7 | 0.857 |
| 8 | 0.460 |
| 9 | 0.023 |
| 10 | 0.233 |
| 11 | 0.001 |
| 12 | 0.290 |